1.
Computed, not measured: a geometry-optimized LaTm2Tl structure at the PBE level of DFT.

Structure (CIF):
```
data_LaTm2Tl
_chemical_formula_sum 'La4 Tm8 Tl4'
_space_group_name_H-M_alt 'F m -3 m'
_space_group_IT_number 225
_space_group_name_Hall '-F 4 2 3'
_cell_length_a 7.7350
_cell_length_b 7.7350
_cell_length_c 7.7350
_cell_angle_alpha 90.00
_cell_angle_beta 90.00
_cell_angle_gamma 90.00
loop_
_atom_site_label
_atom_site_fract_x
_atom_site_fract_y
_atom_site_fract_z
La1 0.0000 0.0000 0.0000
Tm1 0.2500 0.2500 0.2500
Tl1 0.0000 0.0000 0.5000
```

Output
The calculated total energy comes out at -64.6 eV/cell. The value obtained for the density is 9.776 g cm⁻³. The excess energy over the best structure of this formula in the dataset comes out at 208 meV per atom. The calculation puts the size of the total moment at 2.21 μB/f.u.

=====

2.
Computed, not measured: a geometry-optimized Er2PuAl structure at the PBE level of DFT.

Structure (CIF):
```
data_Er2PuAl
_chemical_formula_sum 'Er2 Pu1 Al1'
_space_group_name_H-M_alt 'P 4/m m m'
_space_group_IT_number 123
_space_group_name_Hall '-P 4 2'
_cell_length_a 4.7461
_cell_length_b 4.7461
_cell_length_c 4.5540
_cell_angle_alpha 90.00
_cell_angle_beta 90.00
_cell_angle_gamma 90.00
loop_
_atom_site_label
_atom_site_fract_x
_atom_site_fract_y
_atom_site_fract_z
Er1 0.0000 0.5000 0.0000
Pu1 0.0000 0.0000 0.5000
Al1 0.5000 0.5000 0.5000
```

Output
The calculated total energy comes out at -27.5 eV/cell. The value obtained for the density is 9.802 g cm⁻³. The excess energy over the best structure of this formula in the dataset comes out at 44 meV per atom. The calculation puts the size of the total moment at 6.54 μB/f.u.

=====

no.,formation energy (eV per atom),N(E_F) (states/eV/f.u.)
1,0.02,6.30
2,-0.08,10.36